Entry 1:
Material: P2AuCl
Method: DFT, PBE
State: optimized geometry

a b c (Å): 4.607 4.607 4.607
angles (deg): 60.00 60.00 60.00
Element x y z (fractional)
1 P 0.000 0.000 0.000
2 P 0.250 0.250 0.250
3 Au 0.500 0.500 0.500
4 Cl 0.750 0.750 0.750

## Properties
Calculated total energy = -13.1 eV/f.u.
Raw formation energy = 2.9 eV per formula unit

Entry 2:
Material: Cs2BaZrS4
Method: DFT, PBE
State: optimized geometry

a b c (Å): 8.976 8.976 8.976
angles (deg): 124.63 116.15 89.49
Element x y z (fractional)
1 Cs 0.000 0.000 0.000
2 Cs 0.500 0.000 0.000
3 Cs 0.500 0.000 0.500
4 Cs 0.500 0.500 0.500
5 Ba 0.000 0.500 0.500
6 Ba 0.500 0.500 0.000
7 Zr 0.000 0.000 0.500
8 Zr 0.000 0.500 0.000
9 S 0.181 0.745 0.435
10 S 0.190 0.255 0.935
11 S 0.202 0.217 0.516
12 S 0.202 0.686 0.984
13 S 0.798 0.314 0.016
14 S 0.798 0.783 0.484
15 S 0.810 0.745 0.065
16 S 0.819 0.255 0.565

## Properties
Calculated total energy = -40.6 eV/f.u.
Raw formation energy = -11.9 eV per formula unit

Entry 3:
Material: NaLa5Mg4
Method: DFT, PBE
State: optimized geometry

a b c (Å): 3.953 3.953 20.710
angles (deg): 90.00 90.00 90.00
Element x y z (fractional)
1 Na 0.000 0.000 0.000
2 La 0.500 0.500 0.119
3 La 0.500 0.500 0.307
4 La 0.500 0.500 0.500
5 La 0.500 0.500 0.693
6 La 0.500 0.500 0.881
7 Mg 0.000 0.000 0.212
8 Mg 0.000 0.000 0.403
9 Mg 0.000 0.000 0.597
10 Mg 0.000 0.000 0.788

## Properties
Calculated total energy = -32.8 eV/f.u.
E_form = -0.04 eV/atom

Entry 4:
Material: Dy6Er2Mg
Method: DFT, PBE
State: optimized geometry

a b c (Å): 10.465 10.465 5.003
angles (deg): 90.00 90.00 90.00
Element x y z (fractional)
1 Dy 0.000 0.334 0.000
2 Dy 0.000 0.666 0.000
3 Dy 0.166 0.166 0.500
4 Dy 0.166 0.500 0.500
5 Dy 0.334 0.000 0.000
6 Dy 0.334 0.666 0.000
7 Dy 0.500 0.166 0.500
8 Dy 0.500 0.834 0.500
9 Dy 0.666 0.000 0.000
10 Dy 0.666 0.334 0.000
11 Dy 0.834 0.500 0.500
12 Dy 0.834 0.834 0.500
13 Er 0.167 0.833 0.500
14 Er 0.333 0.333 0.000
15 Er 0.667 0.667 0.000
16 Er 0.833 0.167 0.500
17 Mg 0.000 0.000 0.000
18 Mg 0.500 0.500 0.500

## Properties
Calculated total energy = -38.1 eV/f.u.
E_form = 0.02 eV/atom

Entry 5:
Material: SmDy6Ho2Tm3
Method: DFT, PBE
State: optimized geometry

a b c (Å): 6.113 6.113 11.699
angles (deg): 94.98 94.98 119.94
Element x y z (fractional)
1 Sm 0.000 0.000 0.000
2 Dy 0.085 0.418 0.252
3 Dy 0.249 0.249 0.748
4 Dy 0.418 0.085 0.252
5 Dy 0.582 0.915 0.748
6 Dy 0.751 0.751 0.252
7 Dy 0.915 0.582 0.748
8 Ho 0.333 0.667 0.000
9 Ho 0.667 0.333 0.000
10 Tm 0.167 0.833 0.500
11 Tm 0.500 0.500 0.500
12 Tm 0.833 0.167 0.500

## Properties
Calculated total energy = -54.7 eV/f.u.
E_form = 0.02 eV/atom

Entry 6:
Material: BeTlRu2
Method: DFT, PBE
State: optimized geometry

a b c (Å): 5.042 5.042 5.042
angles (deg): 145.41 126.04 65.70
Element x y z (fractional)
1 Be 0.000 0.000 0.000
2 Tl 0.500 0.500 0.000
3 Ru 0.209 0.709 0.500
4 Ru 0.791 0.291 0.500

## Properties
Calculated total energy = -23.3 eV/f.u.
E_form = 0.35 eV/atom

Entry 7:
Material: Ti5SbAu
Method: DFT, PBE
State: optimized geometry

a b c (Å): 5.040 5.040 10.441
angles (deg): 101.86 101.86 91.77
Element x y z (fractional)
1 Ti 0.034 0.966 0.750
2 Ti 0.043 0.525 0.138
3 Ti 0.233 0.492 0.436
4 Ti 0.475 0.957 0.362
5 Ti 0.492 0.233 0.936
6 Ti 0.508 0.767 0.064
7 Ti 0.525 0.043 0.638
8 Ti 0.767 0.508 0.564
9 Ti 0.957 0.475 0.862
10 Ti 0.966 0.034 0.250
11 Sb 0.417 0.583 0.750
12 Sb 0.583 0.417 0.250
13 Au 0.000 0.000 0.000
14 Au 0.000 0.000 0.500

## Properties
Calculated total energy = -48.0 eV/f.u.
Raw formation energy = -1.1 eV per formula unit

calculated total energy of number 4 (Dy6Er2Mg)? -38.1 eV/f.u.